Record 1
Computed, not measured: a relaxed KGaBiH crystal at the GGA-PBE level of DFT.

Properties
- VASP energy (eV/cell) = -12.379

Cell lengths 4.515, 4.515, 6.127 Å; angles 90.00, 90.00, 120.00 degrees
Positions (direct):
K  0.000  0.000  0.000
Ga  0.667  0.333  0.613
Bi  0.333  0.667  0.447
H  0.667  0.333  0.884

---

Record 2
Computed, not measured: a relaxed NaLiGa2 crystal at the GGA-PBE level of DFT.

Properties
- E_form (eV/atom) = -0.092

Cell lengths 4.089, 4.089, 4.621 Å; angles 90.00, 90.00, 90.00 degrees
Positions (direct):
Na  0.000  0.000  0.000
Li  0.500  0.500  0.000
Ga  0.000  0.500  0.500
Ga  0.500  0.000  0.500

---

Record 3
Computed, not measured: a relaxed Li2ZnGa crystal at the GGA-PBE level of DFT.

Properties
- E_form (eV/atom) = 0.078

Cell lengths 5.896, 5.896, 5.896 Å; angles 152.72, 129.55, 58.30 degrees
Positions (direct):
Li  0.249  0.249  0.000
Li  0.751  0.751  0.000
Zn  0.000  0.000  0.000
Ga  0.500  0.500  0.000

---

Record 4
Computed, not measured: a relaxed Ac2Ni3Ge4Rh crystal at the GGA-PBE level of DFT.

Properties
- E_form (eV/atom) = -0.670

Cell lengths 4.311, 4.311, 10.077 Å; angles 90.00, 90.00, 90.00 degrees
Positions (direct):
Ac  0.000  0.500  0.246
Ac  0.500  0.000  0.754
Ni  0.000  0.500  0.877
Ni  0.500  0.000  0.123
Ni  0.500  0.500  0.500
Ge  0.000  0.000  0.000
Ge  0.000  0.500  0.627
Ge  0.500  0.000  0.373
Ge  0.500  0.500  0.000
Rh  0.000  0.000  0.500

---

Record 5
Computed, not measured: a relaxed Te2HAu crystal at the GGA-PBE level of DFT.

Properties
- VASP energy (eV/cell) = -47.484

Cell lengths 5.616, 7.929, 8.461 Å; angles 90.00, 90.00, 90.00 degrees
Positions (direct):
Te  0.000  0.000  0.000
Te  0.000  0.500  0.000
Te  0.116  0.250  0.416
Te  0.384  0.750  0.916
Te  0.500  0.000  0.500
Te  0.500  0.500  0.500
Te  0.616  0.250  0.084
Te  0.884  0.750  0.584
H  0.236  0.750  0.734
H  0.264  0.250  0.234
H  0.736  0.750  0.766
H  0.764  0.250  0.266
Au  0.171  0.250  0.786
Au  0.329  0.750  0.286
Au  0.671  0.250  0.714
Au  0.829  0.750  0.214

---

Record 6
Computed, not measured: a relaxed Cu2RuBr crystal at the GGA-PBE level of DFT.

Properties
- uncorrected formation energy (meV per atom) = 777

Cell lengths 5.629, 5.629, 5.629 Å; angles 101.69, 101.69, 126.50 degrees
Positions (direct):
Cu  0.123  0.625  0.998
Cu  0.375  0.373  0.498
Cu  0.627  0.125  0.002
Cu  0.875  0.877  0.502
Ru  0.250  0.750  0.500
Ru  0.500  0.500  0.000
Br  0.000  0.000  0.000
Br  0.750  0.250  0.500

---

Record 7
Computed, not measured: a relaxed Li3Ac2TmPb4 crystal at the GGA-PBE level of DFT.

Properties
- E_form (eV/atom) = -0.476

Cell lengths 4.818, 4.818, 12.080 Å; angles 90.00, 90.00, 90.00 degrees
Positions (direct):
Li  0.000  0.000  0.000
Li  0.000  0.500  0.626
Li  0.500  0.000  0.374
Ac  0.000  0.500  0.266
Ac  0.500  0.000  0.734
Tm  0.500  0.500  0.000
Pb  0.000  0.000  0.500
Pb  0.000  0.500  0.850
Pb  0.500  0.000  0.150
Pb  0.500  0.500  0.500

---

Record 8
Computed, not measured: a relaxed Ba2Pt crystal at the GGA-PBE level of DFT.

Properties
- E_form (eV/atom) = -0.521

Cell lengths 8.621, 8.621, 5.105 Å; angles 90.00, 90.00, 120.00 degrees
Positions (direct):
Ba  0.000  0.262  0.000
Ba  0.000  0.594  0.500
Ba  0.262  0.000  0.000
Ba  0.406  0.406  0.500
Ba  0.594  0.000  0.500
Ba  0.738  0.738  0.000
Pt  0.000  0.000  0.500
Pt  0.333  0.667  0.000
Pt  0.667  0.333  0.000